DFT (PBEsol) results for an optimized crystal structure of Ca2TlSiBi.

E_tot = -2.98 eV per atom
total magnetization = 0.84 μB per cell
uncorrected formation energy = 0.409 eV per atom
calculated density = 4.43 g/cm³
Fermi-level density of states = 4.61 states/eV/f.u.

a b c (Å): 5.856 5.856 5.698
angles (deg): 90.00 90.00 90.00
Space group P4/mmm (No. 123)
Inequivalent atoms, fractional coordinates:
Ca: 0.000 0.500 0.000 (multiplicity 2)
Tl: 0.000 0.000 0.500 (multiplicity 1)
Si: 0.500 0.500 0.500 (multiplicity 1)
Bi: 0.000 0.000 0.000 (multiplicity 1)

---

DFT (PBEsol) results for an optimized crystal structure of Cs2Al2Ag.

E_tot = -2.37 eV per atom
total magnetization = 0.00 μB per cell
energy of formation = 0.31 eV per atom
calculated density = 4.06 g/cm³
Fermi-level density of states = 1.69 states/eV/f.u.

a b c (Å): 3.887 3.887 23.131
angles (deg): 90.00 90.00 90.00
Space group I4/mmm (No. 139)
Inequivalent atoms, fractional coordinates:
Cs: 0.000 0.000 0.102 (multiplicity 4)
Al: 0.000 0.500 0.250 (multiplicity 4)
Ag: 0.000 0.000 0.500 (multiplicity 2)

---

DFT (PBEsol) results for an optimized crystal structure of MnCo2Si.

E_tot = -7.99 eV per atom
total magnetization = 15.70 μB per cell
uncorrected formation energy = -0.249 eV per atom
calculated density = 7.89 g/cm³
Fermi-level density of states = 6.12 states/eV/f.u.

a b c (Å): 5.529 5.529 5.529
angles (deg): 90.00 90.00 90.00
Space group F-43m (No. 216)
Inequivalent atoms, fractional coordinates:
Mn: 0.000 0.000 0.000 (multiplicity 4)
Co: 0.000 0.000 0.500 (multiplicity 4)
Co: 0.250 0.250 0.250 (multiplicity 4)
Si: 0.250 0.250 0.750 (multiplicity 4)

---

DFT (PBEsol) results for an optimized crystal structure of MgSiBr2.

E_tot = -2.95 eV per atom
total magnetization = 0.00 μB per cell
uncorrected formation energy = -0.151 eV per atom
excess energy over the best structure of this formula in the dataset = 0.171 eV per atom
calculated density = 3.90 g/cm³
Fermi-level density of states = 1.30 states/eV/f.u.

a b c (Å): 3.456 4.350 6.008
angles (deg): 90.00 90.00 90.00
Space group Pmmm (No. 47)
Inequivalent atoms, fractional coordinates:
Mg: 0.000 0.000 0.000 (multiplicity 1)
Si: 0.500 0.000 0.500 (multiplicity 1)
Br: 0.000 0.500 0.500 (multiplicity 1)
Br: 0.500 0.500 0.000 (multiplicity 1)

---

DFT (PBEsol) results for an optimized crystal structure of SbOF3.

E_tot = -4.26 eV per atom
total magnetization = 1.83 μB per cell
uncorrected formation energy = -1.144 eV per atom
excess energy over the best structure of this formula in the dataset = 0.824 eV per atom
calculated density = 4.06 g/cm³
Fermi-level density of states = 8.34 states/eV/f.u.

a b c (Å): 4.304 4.304 4.304
angles (deg): 90.00 90.00 90.00
Space group Pm-3m (No. 221)
Inequivalent atoms, fractional coordinates:
Sb: 0.000 0.000 0.000 (multiplicity 1)
O: 0.500 0.500 0.500 (multiplicity 1)
F: 0.000 0.000 0.500 (multiplicity 3)

---

DFT (PBEsol) results for an optimized crystal structure of KTlSe2Br.

E_tot = -2.41 eV per atom
total magnetization = 3.02 μB per cell
uncorrected formation energy = 0.253 eV per atom
calculated density = 4.02 g/cm³
Fermi-level density of states = 5.67 states/eV/f.u.

a b c (Å): 5.831 5.831 5.843
angles (deg): 90.00 90.00 90.00
Space group P4/mmm (No. 123)
Inequivalent atoms, fractional coordinates:
K: 0.000 0.000 0.000 (multiplicity 1)
Tl: 0.500 0.500 0.500 (multiplicity 1)
Se: 0.000 0.500 0.000 (multiplicity 2)
Br: 0.000 0.000 0.500 (multiplicity 1)